Record 1
# HfTaNbPd | Alexandria | GGA-PBE | relaxed
data_HfTaNbPd
_chemical_formula_sum 'Hf2 Ta2 Nb2 Pd2'
_cell_length_a 2.820
_cell_length_b 2.864
_cell_length_c 19.207
_cell_angle_alpha 90.00
_cell_angle_beta 90.00
_cell_angle_gamma 90.00
_symmetry_space_group_name_H-M 'A m m 2'
_symmetry_Int_Tables_number 38
loop_
_symmetry_equiv_pos_as_xyz
'x,y,z'
'-x,-y,z'
'-x,y,z'
'x,-y,z'
'x,y+1/2,z+1/2'
'-x,-y+1/2,z+1/2'
'-x,y+1/2,z+1/2'
'x,-y+1/2,z+1/2'
loop_
_atom_site_label
_atom_site_type_symbol
_atom_site_fract_x
_atom_site_fract_y
_atom_site_fract_z
_atom_site_occupancy
Hf1 Hf 0.000 0.000 0.000 1
Ta1 Ta 0.500 0.000 0.771 1
Nb1 Nb 0.000 0.000 0.154 1
Pd1 Pd 0.500 0.000 0.393 1
# * E_form: 0.230 eV per atom
# * DOS(E_F): 7.9 states/eV per cell

=====

Record 2
# HfTiNb2Pd | Alexandria | GGA-PBE | relaxed
data_HfTiNb2Pd
_chemical_formula_sum 'Hf1 Ti1 Nb2 Pd1'
_cell_length_a 4.883
_cell_length_b 4.883
_cell_length_c 4.889
_cell_angle_alpha 90.00
_cell_angle_beta 90.00
_cell_angle_gamma 90.00
_symmetry_space_group_name_H-M 'P 4/m m m'
_symmetry_Int_Tables_number 123
_symmetry_space_group_name_Hall '-P 4 2'
loop_
_atom_site_label
_atom_site_type_symbol
_atom_site_fract_x
_atom_site_fract_y
_atom_site_fract_z
_atom_site_occupancy
Hf1 Hf 0.000 0.000 0.000 1
Ti1 Ti 0.500 0.500 0.000 1
Nb1 Nb 0.000 0.500 0.500 1
Pd1 Pd 0.000 0.000 0.500 1
# * E_form: 1.071 eV per atom
# * DOS(E_F): 9.9 states/eV per cell

=====

Record 3
# HfTiNb2Pd | Alexandria | GGA-PBE | relaxed
data_HfTiNb2Pd
_chemical_formula_sum 'Hf1 Ti1 Nb2 Pd1'
_cell_length_a 4.878
_cell_length_b 4.878
_cell_length_c 4.766
_cell_angle_alpha 90.00
_cell_angle_beta 90.00
_cell_angle_gamma 90.00
_symmetry_space_group_name_H-M 'P 4/m m m'
_symmetry_Int_Tables_number 123
_symmetry_space_group_name_Hall '-P 4 2'
loop_
_atom_site_label
_atom_site_type_symbol
_atom_site_fract_x
_atom_site_fract_y
_atom_site_fract_z
_atom_site_occupancy
Hf1 Hf 0.000 0.000 0.000 1
Ti1 Ti 0.000 0.000 0.500 1
Nb1 Nb 0.000 0.500 0.000 1
Pd1 Pd 0.500 0.500 0.500 1
# * E_form: 1.533 eV per atom
# * DOS(E_F): 10.5 states/eV per cell

=====

Record 4
# HfNbVPd2 | Alexandria | GGA-PBE | relaxed
data_HfNbVPd2
_chemical_formula_sum 'Hf1 Nb1 V1 Pd2'
_cell_length_a 4.753
_cell_length_b 4.753
_cell_length_c 4.986
_cell_angle_alpha 90.00
_cell_angle_beta 90.00
_cell_angle_gamma 90.00
_symmetry_space_group_name_H-M 'P 4/m m m'
_symmetry_Int_Tables_number 123
_symmetry_space_group_name_Hall '-P 4 2'
loop_
_atom_site_label
_atom_site_type_symbol
_atom_site_fract_x
_atom_site_fract_y
_atom_site_fract_z
_atom_site_occupancy
Hf1 Hf 0.000 0.000 0.000 1
Nb1 Nb 0.000 0.000 0.500 1
V1 V 0.500 0.500 0.500 1
Pd1 Pd 0.000 0.500 0.000 1
# * E_form: 1.323 eV per atom
# * DOS(E_F): 6.2 states/eV per cell

=====

Record 5
# HfZrNbPd | Alexandria | GGA-PBE | relaxed
data_HfZrNbPd
_chemical_formula_sum 'Hf4 Zr4 Nb4 Pd4'
_cell_length_a 6.718
_cell_length_b 6.718
_cell_length_c 6.718
_cell_angle_alpha 90.00
_cell_angle_beta 90.00
_cell_angle_gamma 90.00
_symmetry_space_group_name_H-M 'F -4 3 m'
_symmetry_Int_Tables_number 216
_symmetry_space_group_name_Hall 'F -4 2 3'
loop_
_atom_site_label
_atom_site_type_symbol
_atom_site_fract_x
_atom_site_fract_y
_atom_site_fract_z
_atom_site_occupancy
Hf1 Hf 0.000 0.000 0.000 1
Zr1 Zr 0.000 0.000 0.500 1
Nb1 Nb 0.250 0.250 0.250 1
Pd1 Pd 0.250 0.250 0.750 1
# * E_form: -0.259 eV per atom
# * DOS(E_F): 14.6 states/eV per cell

=====

Record 6
# HfZrNbPd | Alexandria | GGA-PBE | relaxed
data_HfZrNbPd
_chemical_formula_sum 'Hf1 Zr1 Nb1 Pd1'
_cell_length_a 3.365
_cell_length_b 3.365
_cell_length_c 6.833
_cell_angle_alpha 90.00
_cell_angle_beta 90.00
_cell_angle_gamma 90.00
_symmetry_space_group_name_H-M 'P 4 m m'
_symmetry_Int_Tables_number 99
loop_
_symmetry_equiv_pos_as_xyz
'x,y,z'
'-y,x,z'
'-x,-y,z'
'y,-x,z'
'-x,y,z'
'y,x,z'
'x,-y,z'
'-y,-x,z'
loop_
_atom_site_label
_atom_site_type_symbol
_atom_site_fract_x
_atom_site_fract_y
_atom_site_fract_z
_atom_site_occupancy
Hf1 Hf 0.000 0.000 0.000 1
Zr1 Zr 0.000 0.000 0.499 1
Nb1 Nb 0.500 0.500 0.751 1
Pd1 Pd 0.500 0.500 0.243 1
# * E_form: -0.363 eV per atom
# * DOS(E_F): 3.1 states/eV per cell

=====

Record 7
# PmHfNb4 | Alexandria | GGA-PBE | relaxed
data_PmHfNb4
_chemical_formula_sum 'Pm4 Hf4 Nb16'
_cell_length_a 7.982
_cell_length_b 7.982
_cell_length_c 7.982
_cell_angle_alpha 90.00
_cell_angle_beta 90.00
_cell_angle_gamma 90.00
_symmetry_space_group_name_H-M 'F -4 3 m'
_symmetry_Int_Tables_number 216
_symmetry_space_group_name_Hall 'F -4 2 3'
loop_
_atom_site_label
_atom_site_type_symbol
_atom_site_fract_x
_atom_site_fract_y
_atom_site_fract_z
_atom_site_occupancy
Pm1 Pm 0.000 0.000 0.000 1
Hf1 Hf 0.250 0.250 0.250 1
Nb1 Nb 0.125 0.125 0.625 1
# * E_form: 0.172 eV per atom
# * DOS(E_F): 32.6 states/eV per cell

=====

Record 8
# PrHf2Nb | Alexandria | GGA-PBE | relaxed
data_PrHf2Nb
_chemical_formula_sum 'Pr3 Hf6 Nb3'
_cell_length_a 3.1897
_cell_length_b 3.1897
_cell_length_c 33.2834
_cell_angle_alpha 90.00
_cell_angle_beta 90.00
_cell_angle_gamma 120.00
_symmetry_space_group_name_H-M 'R -3 m'
_symmetry_Int_Tables_number 166
_symmetry_space_group_name_Hall '-R 3 2"'
loop_
_atom_site_label
_atom_site_type_symbol
_atom_site_fract_x
_atom_site_fract_y
_atom_site_fract_z
_atom_site_occupancy
Pr1 Pr 0.0000 0.0000 0.0000 1
Hf1 Hf 0.0000 0.0000 0.0966 1
Nb1 Nb 0.0000 0.0000 0.5000 1
# * E_form: 0.360 eV per atom
# * DOS(E_F): 16.4 states/eV per cell

=====

Record 9
# PrHfNb | Alexandria | GGA-PBE | relaxed
data_PrHfNb
_chemical_formula_sum 'Pr2 Hf2 Nb2'
_cell_length_a 3.2262
_cell_length_b 3.2262
_cell_length_c 16.2177
_cell_angle_alpha 90.00
_cell_angle_beta 90.00
_cell_angle_gamma 120.00
_symmetry_space_group_name_H-M 'P -6 m 2'
_symmetry_Int_Tables_number 187
_symmetry_space_group_name_Hall 'P -6 2'
loop_
_atom_site_label
_atom_site_type_symbol
_atom_site_fract_x
_atom_site_fract_y
_atom_site_fract_z
_atom_site_occupancy
Pr1 Pr 0.0000 0.0000 0.1685 1
Hf1 Hf 0.3333 0.6667 0.3563 1
Nb1 Nb 0.0000 0.0000 0.5000 1
Nb2 Nb 0.3333 0.6667 0.0000 1
# * E_form: 0.399 eV per atom
# * DOS(E_F): 8.2 states/eV per cell

=====

Record 10
# PrHf2Nb | Alexandria | GGA-PBE | relaxed
data_PrHf2Nb
_chemical_formula_sum 'Pr1 Hf2 Nb1'
_cell_length_a 3.505
_cell_length_b 3.505
_cell_length_c 7.909
_cell_angle_alpha 90.00
_cell_angle_beta 90.00
_cell_angle_gamma 90.00
_symmetry_space_group_name_H-M 'P 4/m m m'
_symmetry_Int_Tables_number 123
_symmetry_space_group_name_Hall '-P 4 2'
loop_
_atom_site_label
_atom_site_type_symbol
_atom_site_fract_x
_atom_site_fract_y
_atom_site_fract_z
_atom_site_occupancy
Pr1 Pr 0.000 0.000 0.000 1
Hf1 Hf 0.500 0.500 0.303 1
Nb1 Nb 0.000 0.000 0.500 1
# * E_form: 0.150 eV per atom
# * DOS(E_F): 6.0 states/eV per cell

=====

Record 11
# Hf2NbPt | Alexandria | GGA-PBE | relaxed
data_Hf2NbPt
_chemical_formula_sum 'Hf8 Nb4 Pt4'
_cell_length_a 4.098
_cell_length_b 4.098
_cell_length_c 19.514
_cell_angle_alpha 90.00
_cell_angle_beta 90.00
_cell_angle_gamma 90.00
_symmetry_space_group_name_H-M 'I -4 2 d'
_symmetry_Int_Tables_number 122
_symmetry_space_group_name_Hall 'I -4 2bw'
loop_
_atom_site_label
_atom_site_type_symbol
_atom_site_fract_x
_atom_site_fract_y
_atom_site_fract_z
_atom_site_occupancy
Hf1 Hf 0.250 0.250 0.125 1
Nb1 Nb 0.000 0.000 0.000 1
Pt1 Pt 0.000 0.000 0.500 1
# * E_form: 0.162 eV per atom
# * DOS(E_F): 29.4 states/eV per cell

=====

Record 12
# Hf2Nb2Pt | Alexandria | GGA-PBE | relaxed
data_Hf2Nb2Pt
_chemical_formula_sum 'Hf4 Nb4 Pt2'
_cell_length_a 6.977
_cell_length_b 6.977
_cell_length_c 4.114
_cell_angle_alpha 90.00
_cell_angle_beta 90.00
_cell_angle_gamma 90.00
_symmetry_space_group_name_H-M 'P 4/m b m'
_symmetry_Int_Tables_number 127
_symmetry_space_group_name_Hall '-P 4 2ab'
loop_
_atom_site_label
_atom_site_type_symbol
_atom_site_fract_x
_atom_site_fract_y
_atom_site_fract_z
_atom_site_occupancy
Hf1 Hf 0.148 0.352 0.000 1
Nb1 Nb 0.159 0.659 0.500 1
Pt1 Pt 0.000 0.000 0.000 1
# * E_form: 0.046 eV per atom
# * DOS(E_F): 7.7 states/eV per cell